[1]
A relaxed structure of LiGaSn. Source: Alexandria, functional PBE-GGA.

Values from the calculation:
Formation enthalpy at 0 K = -0.097 eV per atom

a = 8.666 Å, b = 3.114 Å, c = 4.643 Å
α = 90.00°, β = 90.00°, γ = 90.00°
Atoms (fractional coordinates):
Li 0.750 0.000 0.501
Li 0.250 0.000 0.499
Ga 0.000 0.500 0.500
Ga 0.500 0.500 0.500
Sn 0.750 0.500 0.001
Sn 0.250 0.500 0.999

***

[2]
A relaxed structure of Cs2CrHgI6. Source: Alexandria, functional PBE-GGA.

Values from the calculation:
Energy relative to the elements, uncorrected = -787 meV/atom

a = 8.400 Å, b = 8.400 Å, c = 8.428 Å
α = 60.11°, β = 60.11°, γ = 90.00°
Atoms (fractional coordinates):
Cr 0.500 0.500 0.000
I 0.264 0.736 0.000
I 0.736 0.264 0.000
I 0.736 0.736 0.000
I 0.264 0.264 0.000
I 0.734 0.734 0.533
I 0.266 0.266 0.467
Hg 0.000 0.000 0.000
Cs 0.250 0.750 0.500
Cs 0.750 0.250 0.500

***

[3]
A relaxed structure of SrYSbP2. Source: Alexandria, functional PBE-GGA.

Values from the calculation:
Energy relative to the elements, uncorrected = -242 meV/atom

a = 5.276 Å, b = 5.746 Å, c = 5.276 Å
α = 90.00°, β = 90.00°, γ = 90.00°
Atoms (fractional coordinates):
P 0.500 0.000 0.000
P 0.000 0.000 0.500
Y 0.000 0.000 0.000
Sb 0.000 0.500 0.000
Sr 0.500 0.500 0.500

***

[4]
A relaxed structure of NaSe2SBr. Source: Alexandria, functional PBE-GGA.

Values from the calculation:
Energy relative to the elements, uncorrected = 873 meV/atom
Energy above the lowest structure with this stoichiometry = 0.915 eV per atom

a = 5.270 Å, b = 5.270 Å, c = 5.010 Å
α = 90.00°, β = 90.00°, γ = 90.00°
Atoms (fractional coordinates):
S 0.500 0.500 0.500
Br 0.000 0.000 0.500
Na 0.000 0.000 0.000
Se 0.000 0.500 0.000
Se 0.500 0.000 0.000

***

[5]
A relaxed structure of CaErAlZn. Source: Alexandria, functional PBE-GGA.

Values from the calculation:
Formation enthalpy at 0 K = -0.298 eV per atom
Energy above the lowest structure with this stoichiometry = 0.000 eV per atom

a = 3.574 Å, b = 3.574 Å, c = 7.450 Å
α = 90.00°, β = 90.00°, γ = 90.00°
Atoms (fractional coordinates):
Al 0.500 0.500 0.123
Zn 0.500 0.500 0.590
Er 0.000 0.000 0.363
Ca 0.000 0.000 0.852

***

[6]
A relaxed structure of P2OsPt. Source: Alexandria, functional PBE-GGA.

Values from the calculation:
Formation enthalpy at 0 K = -0.119 eV per atom
Energy above the lowest structure with this stoichiometry = 0.099 eV per atom

a = 6.243 Å, b = 6.243 Å, c = 3.446 Å
α = 90.01°, β = 90.01°, γ = 27.71°
Atoms (fractional coordinates):
P 0.715 0.715 0.625
P 0.962 0.962 0.125
Os 0.307 0.307 0.125
Pt 0.516 0.516 0.625

***

[7]
A relaxed structure of Na2CrPt. Source: Alexandria, functional PBE-GGA.

Values from the calculation:
Formation enthalpy at 0 K = 0.466 eV per atom
Energy above the lowest structure with this stoichiometry = 0.000 eV per atom

a = 4.800 Å, b = 4.800 Å, c = 4.800 Å
α = 60.00°, β = 60.00°, γ = 60.00°
Atoms (fractional coordinates):
Cr 0.000 0.000 0.000
Na 0.250 0.250 0.250
Na 0.750 0.750 0.750
Pt 0.500 0.500 0.500

***

[8]
A relaxed structure of AgF3. Source: Alexandria, functional PBE-GGA.

Values from the calculation:
Energy relative to the elements, uncorrected = -991 meV/atom
Energy above the lowest structure with this stoichiometry = 0.018 eV per atom

a = 5.187 Å, b = 5.187 Å, c = 15.408 Å
α = 90.00°, β = 90.00°, γ = 120.00°
Atoms (fractional coordinates):
F 0.743 0.000 0.500
F 0.107 0.444 0.664
F 0.663 0.107 0.831
F 0.556 0.663 0.998
F 0.444 0.107 0.669
F 0.257 0.257 0.167
F 0.107 0.663 0.502
F 0.556 0.893 0.169
F 0.444 0.337 0.498
F 0.257 0.000 0.000
F 0.000 0.257 0.333
F 0.743 0.743 0.667
F 0.663 0.556 0.336
F 0.893 0.337 0.002
F 0.337 0.444 0.836
F 0.337 0.893 0.331
F 0.000 0.743 0.833
F 0.893 0.556 0.164
Ag 0.418 0.709 0.583
Ag 0.582 0.291 0.083
Ag 0.709 0.418 0.750
Ag 0.709 0.291 0.417
Ag 0.291 0.709 0.917
Ag 0.291 0.582 0.250